[1]
Computed, not measured: an optimized crystal structure of Li2Al8Ir at the PBE level of DFT.

CIF file:
```
data_Li2Al8Ir
_space_group_name_H-M_alt 'P 1'
_space_group_IT_number 1
_cell_length_a 4.1203
_cell_length_b 5.5308
_cell_length_c 9.8466
_cell_angle_alpha 118.70
_cell_angle_beta 102.08
_cell_angle_gamma 90.00
loop_
_space_group_symop_operation_xyz
'x,y,z'
loop_
_atom_site_label
_atom_site_fract_x
_atom_site_fract_y
_atom_site_fract_z
Li1 0.7955 0.1834 0.5909
Li2 0.2045 0.8166 0.4091
Al1 0.3688 0.5518 0.7377
Al2 0.6162 0.9106 0.2324
Al3 0.7954 0.6844 0.5908
Al4 0.0125 0.2824 0.0251
Al5 0.2046 0.3156 0.4092
Al6 0.3838 0.0894 0.7676
Al7 0.6312 0.4482 0.2623
Al8 0.9875 0.7176 0.9749
Ir1 0.5000 0.0000 0.0000
```

Calculated values
Energy of formation from the pure elements   -2.42 eV/f.u.
E_tot   -45.046 eV for the cell shown

***

[2]
Computed, not measured: an optimized crystal structure of CsU4 at the PBE level of DFT.

CIF file:
```
data_CsU4
_space_group_name_H-M_alt 'P 1'
_space_group_IT_number 1
_cell_length_a 5.4971
_cell_length_b 5.4971
_cell_length_c 5.4971
_cell_angle_alpha 90.00
_cell_angle_beta 90.00
_cell_angle_gamma 90.00
loop_
_space_group_symop_operation_xyz
'x,y,z'
loop_
_atom_site_label
_atom_site_fract_x
_atom_site_fract_y
_atom_site_fract_z
Cs1 0.5000 0.5000 0.5000
U1 0.0000 0.0000 0.0000
U2 0.5000 0.0000 0.5000
U3 0.0000 0.5000 0.5000
U4 0.5000 0.5000 0.0000
```

Calculated values
Energy of formation from the pure elements   13.17 eV/f.u.
E_tot   -32.834 eV for the cell shown

***

[3]
Computed, not measured: an optimized crystal structure of MoRuCl2 at the PBE level of DFT.

CIF file:
```
data_MoRuCl2
_space_group_name_H-M_alt 'P 1'
_space_group_IT_number 1
_cell_length_a 6.9610
_cell_length_b 6.9610
_cell_length_c 4.4974
_cell_angle_alpha 84.27
_cell_angle_beta 84.27
_cell_angle_gamma 24.59
loop_
_space_group_symop_operation_xyz
'x,y,z'
loop_
_atom_site_label
_atom_site_fract_x
_atom_site_fract_y
_atom_site_fract_z
Ru1 0.2500 0.2500 0.2500
Mo1 0.7500 0.7500 0.7500
Cl1 0.1132 0.1132 0.9580
Cl2 0.3868 0.3868 0.5420
```

Calculated values
Energy above the lowest structure with this stoichiometry   0.332 eV per atom
E_form (uncorrected)   0.0871 eV/atom
E_tot   -23.452 eV for the cell shown

***

[4]
Computed, not measured: an optimized crystal structure of AgTeSe at the PBE level of DFT.

CIF file:
```
data_AgTeSe
_space_group_name_H-M_alt 'P 1'
_space_group_IT_number 1
_cell_length_a 8.5131
_cell_length_b 8.5131
_cell_length_c 8.5131
_cell_angle_alpha 159.36
_cell_angle_beta 159.36
_cell_angle_gamma 29.35
loop_
_space_group_symop_operation_xyz
'x,y,z'
loop_
_atom_site_label
_atom_site_fract_x
_atom_site_fract_y
_atom_site_fract_z
Ag1 0.9901 0.9901 0.0000
Se1 0.3679 0.3679 0.0000
Te1 0.6420 0.6420 0.0000
```

Calculated values
Energy above the lowest structure with this stoichiometry   0.234 eV per atom
E_form (uncorrected)   0.2106 eV/atom
E_tot   -8.846 eV for the cell shown

***

no.,density of states at the Fermi level (states/eV/atom)
1,0.3064
2,6.3022
3,0.9570
4,0.6857